[1]
Na2TcPCl, relaxed, DFT PBE-GGA; D(E_F) = 0.379 states/eV/atom; space-group type = No. 123; magnetic moment = 0.7632 μB per atom; formation energy without anion corrections = 3.550 eV per formula unit; VASP energy = -3.34 eV per atom
1.0
4.753 0.000 0.000
0.000 5.668 0.000
0.000 0.000 4.753
Cl Tc Na P
1 1 2 1
Cartesian
0.000 0.000 0.000
2.376 2.834 2.376
2.376 0.000 0.000
0.000 0.000 2.376
0.000 2.834 0.000



[2]
LiDyTmGe, relaxed, DFT PBE-GGA; calculated formation energy = -0.395 eV per atom; D(E_F) = 0.648 states/eV/atom; space-group type = No. 216; magnetic moment = 0.0000 μB per atom; VASP energy = -4.30 eV per atom
1.0
4.977 0.000 0.000
2.489 4.310 0.000
2.489 1.437 4.064
Li Dy Tm Ge
1 1 1 1
Cartesian
7.466 4.310 3.048
0.000 0.000 0.000
4.977 2.874 2.032
2.489 1.437 1.016



[3]
Nd2Zn15Co2, relaxed, DFT PBE-GGA; calculated formation energy = -0.193 eV per atom; D(E_F) = 0.520 states/eV/atom; space-group type = No. 166; magnetic moment = 0.1261 μB per atom; VASP energy = -2.45 eV per atom
1.0
-1.590 -0.139 -6.589
6.271 -0.989 -2.380
-0.378 -6.737 -0.654
Zn Co Nd
15 2 2
Cartesian
-0.720 -4.875 -2.330
1.306 -6.119 -3.672
4.646 -3.230 -4.539
-0.189 -3.369 -0.327
4.394 -2.612 -1.892
3.135 -0.494 -1.190
0.697 -2.803 -6.655
3.607 -5.063 -2.968
4.052 -0.749 -3.568
-0.343 -4.636 -5.083
-0.795 -0.070 -3.295
1.499 -5.114 -1.141
0.630 -0.379 -5.401
-1.247 -2.002 -4.913
2.998 -1.747 -5.950
3.909 -7.145 -8.741
0.395 -0.721 -0.882
1.443 -2.637 -3.226
2.861 -5.229 -6.397



[4]
BaLiY, relaxed, DFT PBE-GGA; energy above the most stable polymorph in this dataset = 199 kJ/mol of formula units; calculated formation energy = 0.866 eV per atom; D(E_F) = 1.343 states/eV/atom; space-group type = No. 216; magnetic moment = 0.0000 μB per atom; VASP energy = -2.57 eV per atom
1.0
-4.001 -3.703 1.193
1.167 -4.446 3.164
-2.028 -0.343 5.187
Y Ba Li
1 1 1
Cartesian
-2.431 -4.246 4.772
-3.647 -6.369 7.158
0.000 0.000 0.000



[5]
K2CuB, relaxed, DFT PBE-GGA; calculated formation energy = 0.520 eV per atom; D(E_F) = 0.871 states/eV/atom; space-group type = No. 122; magnetic moment = 0.0000 μB per atom; VASP energy = -2.72 eV per atom
1.0
-1.586 -0.500 11.921
-1.669 -11.898 -0.721
0.285 -6.482 5.842
B K Cu
2 4 2
Cartesian
-1.627 -6.199 5.600
-1.505 -12.290 5.360
-2.282 -13.201 14.333
-1.504 -9.225 5.013
-1.358 -12.020 8.429
-0.794 -3.315 6.307
-1.464 -6.591 11.681
0.000 0.000 0.000



[6]
LaIn, relaxed, DFT PBE-GGA; calculated formation energy = -0.299 eV per atom; D(E_F) = 0.981 states/eV/atom; space-group type = No. 70; magnetic moment = 0.0000 μB per atom; VASP energy = -4.13 eV per atom
1.0
-8.684 -4.781 2.506
6.355 -3.473 15.401
-2.114 4.874 1.971
In La
16 16
Cartesian
-3.856 -2.248 13.640
-0.641 -4.413 10.222
-5.977 -2.949 4.954
2.590 -2.867 13.938
-4.930 -3.521 7.491
-1.688 -3.841 7.685
5.832 -3.187 14.132
-4.876 -0.239 3.507
1.597 0.987 7.417
1.543 -2.295 11.401
2.644 0.415 9.955
-1.644 1.306 7.224
0.524 -0.286 1.269
-2.809 -2.821 16.177
0.432 -3.140 16.371
-2.691 1.878 4.687
-3.656 -2.479 10.353
2.444 0.645 13.242
-0.425 -0.934 14.069
-0.787 -0.900 9.525
-7.945 -1.588 7.622
-2.545 -1.634 5.383
-3.710 -5.761 14.337
-2.492 1.647 1.400
-4.072 -5.727 9.792
1.743 -2.526 8.114
-5.777 -3.180 1.667
-5.076 -0.009 6.794
0.324 -0.055 4.556
-2.908 -1.601 0.839
-8.307 -1.554 3.078
-0.841 -4.182 13.509